## Fe3GeW (PBE)

Data for a relaxed structure of Fe3GeW.

Results
The calculation puts the energy above the lowest structure with this stoichiometry at 0.0 meV per atom. For the calculated density, the calculation gives 8285 kg/m3.

Cell: 4.3966 4.3966 4.3966 Å, 90.00 90.00 90.00°
Positions (direct):
Fe 0.0000 0.0000 0.5000
Fe 0.0000 0.5000 0.0000
Fe 0.5000 0.0000 0.0000
Ge 0.0000 0.0000 0.0000
W 0.5000 0.5000 0.5000

## Sr2Li4Cd5 (PBE)

Data for a relaxed structure of Sr2Li4Cd5.

Results
The calculation puts the total DFT energy (no corrections) at -18.03 eV/cell. For the calculated density, the calculation gives 4689 kg/m3.

Cell: 7.3409 7.3409 7.7172 Å, 120.31 120.31 51.92°
Positions (direct):
Sr 0.0154 0.0154 0.2628
Sr 0.9846 0.9846 0.7372
Li 0.3232 0.3232 0.6011
Li 0.4119 0.4119 0.0637
Li 0.5881 0.5881 0.9363
Li 0.6768 0.6768 0.3989
Cd 0.0320 0.4995 0.2160
Cd 0.4995 0.0320 0.2160
Cd 0.5000 0.5000 0.5000
Cd 0.5005 0.9680 0.7840
Cd 0.9680 0.5005 0.7840

- Look up the calculated density of the first one.
  8285 kg/m3

- What is the calculated density in the second record?
  4689 kg/m3

- Which value of calculated density does entry 2 give?
  4689 kg/m3

What did the second record say?
## Sr2Li4Cd5 (PBE)

Data for a relaxed structure of Sr2Li4Cd5.

Results
The calculation puts the total DFT energy (no corrections) at -18.03 eV/cell. For the calculated density, the calculation gives 4689 kg/m3.

Cell: 7.3409 7.3409 7.7172 Å, 120.31 120.31 51.92°
Positions (direct):
Sr 0.0154 0.0154 0.2628
Sr 0.9846 0.9846 0.7372
Li 0.3232 0.3232 0.6011
Li 0.4119 0.4119 0.0637
Li 0.5881 0.5881 0.9363
Li 0.6768 0.6768 0.3989
Cd 0.0320 0.4995 0.2160
Cd 0.4995 0.0320 0.2160
Cd 0.5000 0.5000 0.5000
Cd 0.5005 0.9680 0.7840
Cd 0.9680 0.5005 0.7840